Record 1
LiTc2Te | PBE | relaxed Values from VASP.

* SG: I-42d, No. 122
* calculated volume: 17.30 Å³ per atom
* uncorrected formation energy: 357 meV per atom

Structure (Quantum ESPRESSO input):
```
&SYSTEM
  ibrav = 0, nat = 8, ntyp = 3
/
ATOMIC_SPECIES
Li 6.94 Li.upf
Tc 98.00 Tc.upf
Te 127.60 Te.upf
CELL_PARAMETERS angstrom
-1.917 1.917 9.412
1.917 -1.917 9.412
1.917 1.917 -9.412
ATOMIC_POSITIONS crystal
Li 0.000 0.000 0.000
Li 0.750 0.250 0.500
Tc 0.067 0.625 0.942
Tc 0.375 0.317 0.442
Tc 0.683 0.125 0.058
Tc 0.875 0.933 0.558
Te 0.250 0.750 0.500
Te 0.500 0.500 0.000
```


Record 2
LiTcTe | PBE | relaxed Values from VASP.

* SG: P3m1, No. 156
* calculated volume: 20.11 Å³ per atom
* polymorph energy (0 for the lowest one): 36.09 kJ/mol of atoms
* uncorrected formation energy: 264 meV per atom

Structure (Quantum ESPRESSO input):
```
&SYSTEM
  ibrav = 0, nat = 3, ntyp = 3
/
ATOMIC_SPECIES
Li 6.94 Li.upf
Tc 98.00 Tc.upf
Te 127.60 Te.upf
CELL_PARAMETERS angstrom
3.262 0.000 0.000
-1.631 2.825 0.000
0.000 0.000 6.547
ATOMIC_POSITIONS crystal
Li 0.000 0.000 0.000
Tc 0.667 0.333 0.329
Te 0.333 0.667 0.606
```


What is the formula in the first record? LiTc2Te


Which of these has the lowest uncorrected formation energy? LiTcTe